Below is an optimized crystal structure of YPuHg, with properties calculated at the PBE level.

Geometry as extended XYZ:
```
3
Lattice="3.555 0.000 0.000 0.000 3.555 0.000 -1.778 -1.778 6.592" Properties=species:S:1:pos:R:3 pbc="T T T"
Hg 1.778 1.778 2.259
Pu 0.000 0.000 0.127
Y 0.000 0.000 4.206
```

Summary:
Symmetry: No. 107
Polymorph energy (0 for the lowest one) (eV/atom): 0.000
Electronic total energy (eV per atom): -7.1518